First-principles (PBE+U) data for an optimized crystal structure of Tl3FeOs2O9, as listed in Alexandria via LeMat-Bulk.

```
15
Lattice="-2.516 -3.414 3.743 5.609 0.711 0.145 -0.793 5.369 4.364" Properties=species:S:1:pos:R:3 pbc="T T T"
Tl 2.385 2.829 4.184
Tl 0.000 0.000 0.000
Tl -0.085 -0.164 4.068
Fe -0.397 2.684 2.182
Os 2.772 0.211 2.056
Os -0.472 2.454 6.196
O -1.643 0.936 6.072
O 1.046 1.276 6.141
O -0.437 2.572 4.278
O 2.737 0.093 3.974
O 1.254 1.389 2.110
O 3.943 1.730 2.180
O -1.258 -1.707 1.871
O 2.805 0.355 0.073
O 1.547 -1.352 1.944
```

Values from the calculation:
space-group type = P-3m1 (164)
DFT total energy = -6.211 eV/atom

***

First-principles (PBE+U) data for an optimized crystal structure of TlFeOsO6, as listed in Alexandria via LeMat-Bulk.

```
9
Lattice="-1.805 3.912 3.011 -5.175 0.618 0.682 0.166 -2.951 3.934" Properties=species:S:1:pos:R:3 pbc="T T T"
Tl -1.639 0.961 6.944
Fe -4.570 1.545 4.429
Os -2.243 0.035 3.198
O -1.894 -0.546 1.405
O -0.624 -0.663 3.948
O -2.905 0.517 4.930
O -3.092 -1.681 3.289
O -3.805 0.996 2.642
O -1.140 1.585 2.972
```

Values from the calculation:
space-group type = P312 (149)
DFT total energy = -6.436 eV/atom

***

First-principles (PBE+U) data for an optimized crystal structure of Tl2Fe2OsO6, as listed in Alexandria via LeMat-Bulk.

```
11
Lattice="5.364 -0.003 0.063 -2.654 4.662 0.063 -0.942 -1.620 6.579" Properties=species:S:1:pos:R:3 pbc="T T T"
Tl 4.026 0.776 0.063
Tl -1.316 3.883 0.063
Fe -0.437 2.288 3.353
Fe 2.205 0.751 3.353
Os -0.471 -0.810 3.290
O 1.338 2.300 4.413
O -1.366 0.693 4.337
O 0.430 0.739 2.293
O 1.277 -0.845 4.337
O 3.134 2.347 2.369
O 0.491 3.884 2.369
```

Values from the calculation:
space-group type = C2/m (12)
DFT total energy = -6.155 eV/atom

***

First-principles (PBE+U) data for an optimized crystal structure of V2FeOsO, as listed in Alexandria via LeMat-Bulk.

```
5
Lattice="-1.650 1.739 -4.165 -0.202 -3.154 -1.237 -4.504 -0.353 1.637" Properties=species:S:1:pos:R:3 pbc="T T T"
Os -3.178 -0.884 -1.882
Fe 0.000 0.000 0.000
O -0.101 -1.577 -0.619
V -2.252 -0.177 0.819
V -0.825 0.870 -2.082
```

Values from the calculation:
space-group type = P4/mmm (123)
DFT total energy = -5.855 eV/atom

***

First-principles (PBE+U) data for an optimized crystal structure of VFeOsO6, as listed in Alexandria via LeMat-Bulk.

```
18
Lattice="-1.651 3.037 3.447 -0.649 -4.816 0.475 7.726 -0.622 4.249" Properties=species:S:1:pos:R:3 pbc="T T T"
V 0.948 -2.353 2.528
V 4.477 -0.047 5.643
Fe 0.000 0.000 0.000
Fe 3.863 -0.311 2.125
Os 0.614 0.264 3.519
Os 4.811 -2.664 4.653
O -0.569 -1.256 3.156
O -0.894 1.359 4.129
O 3.638 -4.188 4.272
O 6.319 -3.759 4.042
O 2.129 -0.814 2.898
O 0.814 -0.414 5.348
O 5.009 -3.323 6.489
O 1.788 1.788 3.900
O 4.611 -1.987 2.824
O 0.417 0.923 1.683
O 3.296 -1.586 5.274
O 5.995 -1.144 5.015
```

Values from the calculation:
space-group type = P-31c (163)
DFT total energy = -7.166 eV/atom

***

First-principles (PBE+U) data for an optimized crystal structure of Fe3P2O16, as listed in Alexandria via LeMat-Bulk.

```
21
Lattice="3.068 -3.188 -8.039 7.203 3.760 4.263 2.395 -3.560 1.205" Properties=species:S:1:pos:R:3 pbc="T T T"
Fe 0.000 0.000 0.000
Fe 5.561 1.000 -0.624
Fe 4.711 -0.428 -3.152
P 4.994 -2.297 -0.382
P 7.673 -0.692 -2.189
O 3.579 -2.531 0.226
O 9.088 -0.457 -2.797
O 4.916 -0.921 -1.132
O 7.751 -2.067 -1.438
O 5.285 -3.393 -1.423
O 6.019 -2.160 0.760
O 7.382 0.405 -1.147
O 6.648 -0.828 -3.330
O 8.032 1.906 3.443
O 4.643 -3.789 -6.641
O 4.634 -4.894 -6.013
O 8.024 0.800 4.070
O 4.064 -1.901 -4.429
O 6.006 1.362 1.348
O 8.602 -1.087 1.859
O 6.660 -4.350 -3.919
```

Values from the calculation:
space-group type = C2/m (12)
energy above the lowest structure with this stoichiometry = 0.000 eV per atom

***

First-principles (PBE+U) data for an optimized crystal structure of FeP2O7, as listed in Alexandria via LeMat-Bulk.

```
40
Lattice="-1.180 -6.704 -1.688 8.221 -1.657 0.833 -1.811 -4.485 8.956" Properties=species:S:1:pos:R:3 pbc="T T T"
Fe -0.464 -5.617 0.431
Fe 1.386 -8.415 5.188
Fe 3.843 -4.431 2.913
Fe 5.693 -7.229 7.670
P 4.530 -7.209 4.589
P 1.720 -2.127 1.670
P 4.715 -8.538 1.983
P 0.514 -4.309 6.118
P 5.496 -4.979 0.117
P 3.510 -10.720 6.431
P -0.267 -7.868 7.984
P 0.700 -5.637 3.512
O -0.232 -5.460 2.312
O 2.250 -2.532 0.201
O -0.033 -9.633 4.512
O -0.811 -4.448 6.869
O 5.462 -7.387 5.789
O 2.979 -10.314 7.900
O 1.048 -4.699 -0.389
O 6.605 -5.832 0.712
O 2.511 -10.112 5.444
O 4.699 -5.826 3.973
O 0.874 -8.108 6.994
O 4.913 -10.153 6.180
O 4.355 -4.738 1.107
O 5.262 -3.214 3.589
O 2.143 -5.298 3.175
O 4.181 -8.147 8.490
O 6.041 -8.398 1.232
O 0.481 -7.311 -0.005
O 0.317 -2.694 1.921
O 3.086 -7.548 4.926
O 0.162 -4.536 4.559
O 0.531 -7.020 4.129
O -1.375 -7.014 7.389
O 2.718 -2.734 2.657
O 5.067 -8.310 3.542
O 3.714 -7.486 1.489
O 4.749 -5.536 8.106
O 1.515 -5.361 6.612
```

Values from the calculation:
space-group type = P2_1/c (14)
energy above the lowest structure with this stoichiometry = 0.059 eV per atom

***

First-principles (PBE+U) data for an optimized crystal structure of FeP2O2, as listed in Alexandria via LeMat-Bulk.

```
5
Lattice="3.529 0.000 0.000 0.000 3.529 0.000 0.000 0.000 4.731" Properties=species:S:1:pos:R:3 pbc="T T T"
P 0.000 0.000 0.000
P 0.000 0.000 2.366
Fe 1.765 1.765 2.366
O 0.000 1.765 0.000
O 1.765 0.000 0.000
```

Values from the calculation:
space-group type = P4/mmm (123)
energy above the lowest structure with this stoichiometry = 0.000 eV per atom

***

First-principles (PBE+U) data for an optimized crystal structure of FeP2O2, as listed in Alexandria via LeMat-Bulk.

```
5
Lattice="4.502 0.000 0.000 0.000 4.502 0.000 0.000 0.000 3.531" Properties=species:S:1:pos:R:3 pbc="T T T"
P 0.000 2.251 0.000
P 2.251 0.000 0.000
Fe 0.000 0.000 0.000
O 2.251 2.251 1.766
O 0.000 0.000 1.766
```

Values from the calculation:
space-group type = P4/mmm (123)
energy above the lowest structure with this stoichiometry = 1.088 eV per atom

***

First-principles (PBE+U) data for an optimized crystal structure of FeP3O9, as listed in Alexandria via LeMat-Bulk.

```
26
Lattice="7.047 0.182 -0.354 1.886 7.164 -0.231 0.336 0.527 6.568" Properties=species:S:1:pos:R:3 pbc="T T T"
Fe 4.498 1.176 0.726
Fe 4.770 6.698 5.258
P 2.920 4.083 0.644
P 7.880 5.809 1.698
P 4.982 5.818 1.956
P 4.286 2.056 4.028
P 1.389 2.065 4.287
P 6.349 3.791 5.340
O 5.812 2.452 0.027
O 3.073 2.591 0.543
O 7.660 6.889 0.641
O 4.880 6.773 0.748
O 1.492 4.360 1.247
O 3.982 4.599 1.758
O 6.400 5.109 1.939
O 4.563 1.447 2.690
O 0.695 1.805 3.025
O 8.573 6.069 2.959
O 4.706 6.427 3.294
O 2.869 2.765 4.045
O 5.287 3.275 4.226
O 7.777 3.514 4.737
O 4.389 1.101 5.236
O 1.609 0.985 5.343
O 6.196 5.283 5.441
O 3.456 5.422 5.957
```

Values from the calculation:
space-group type = P-1 (2)
energy above the lowest structure with this stoichiometry = 0.046 eV per atom

***

First-principles (PBE+U) data for an optimized crystal structure of FePO2, as listed in Alexandria via LeMat-Bulk.

```
4
Lattice="-2.637 4.797 3.203 -3.693 2.337 4.596 -0.949 3.393 5.273" Properties=species:S:1:pos:R:3 pbc="T T T"
P -3.639 5.264 6.536
Fe 0.000 0.000 0.000
O -6.505 9.409 11.683
O -0.773 1.118 1.389
```

Values from the calculation:
space-group type = R-3m (166)
DFT total energy = -5.493 eV/atom

***

First-principles (PBE+U) data for an optimized crystal structure of FeP2O7, as listed in Alexandria via LeMat-Bulk.

```
20
Lattice="8.330 0.000 0.000 0.000 5.023 -0.074 0.000 1.964 6.706" Properties=species:S:1:pos:R:3 pbc="T T T"
Fe 8.255 4.413 1.476
Fe 4.090 2.574 5.155
P 1.887 2.047 2.607
P 6.052 4.940 4.024
P 6.731 3.843 6.631
P 2.566 3.145 0.001
O 0.730 3.052 2.735
O 1.335 0.698 2.144
O 5.500 6.289 4.488
O 2.718 1.915 3.861
O 7.742 0.762 0.181
O 5.301 3.319 6.610
O 2.749 3.968 5.707
O 4.895 3.935 3.897
O 3.577 6.225 6.451
O 2.911 2.586 1.477
O 6.883 5.073 2.771
O 6.914 3.019 0.924
O 1.136 3.668 0.022
O 7.076 4.402 5.155
```

Values from the calculation:
space-group type = P2_1 (4)
energy above the lowest structure with this stoichiometry = 0.001 eV per atom